1:
# InNiSe2N (PBE-GGA, optimized geometry)
data_InNiSe2N
_symmetry_space_group_name_H-M 'P 4/m m m'
_symmetry_Int_Tables_number 123
_symmetry_space_group_name_Hall '-P 4 2'
_cell_length_a 5.1237
_cell_length_b 5.1237
_cell_length_c 3.4595
_cell_angle_alpha 90.00
_cell_angle_beta 90.00
_cell_angle_gamma 90.00
loop_
_atom_site_label
_atom_site_type_symbol
_atom_site_fract_x
_atom_site_fract_y
_atom_site_fract_z
In1 In 0.0000 0.0000 0.0000
Ni1 Ni 0.5000 0.5000 0.5000
Se1 Se 0.0000 0.5000 0.5000
N1 N 0.5000 0.5000 0.0000
# * D(E_F): 0.545 states/eV/atom
# * spin magnetization: 0.00 Bohr magnetons per cell

---

2:
# InNiSe2N (PBE-GGA, optimized geometry)
data_InNiSe2N
_symmetry_space_group_name_H-M 'P 4/m m m'
_symmetry_Int_Tables_number 123
_symmetry_space_group_name_Hall '-P 4 2'
_cell_length_a 5.3432
_cell_length_b 5.3432
_cell_length_c 4.0998
_cell_angle_alpha 90.00
_cell_angle_beta 90.00
_cell_angle_gamma 90.00
loop_
_atom_site_label
_atom_site_type_symbol
_atom_site_fract_x
_atom_site_fract_y
_atom_site_fract_z
In1 In 0.0000 0.0000 0.0000
Ni1 Ni 0.5000 0.5000 0.5000
Se1 Se 0.0000 0.5000 0.0000
N1 N 0.0000 0.0000 0.5000
# * D(E_F): 1.254 states/eV/atom
# * spin magnetization: 3.74 Bohr magnetons per cell

---

In terms of stability, 1 leads; the second structure lies 932 meV per atom higher.

---

1:
# In2NO (PBE-GGA, optimized geometry)
data_In2NO
_symmetry_space_group_name_H-M 'I -4 2 d'
_symmetry_Int_Tables_number 122
_symmetry_space_group_name_Hall 'I -4 2bw'
_cell_length_a 5.1279
_cell_length_b 5.1279
_cell_length_c 10.3397
_cell_angle_alpha 90.00
_cell_angle_beta 90.00
_cell_angle_gamma 90.00
loop_
_atom_site_label
_atom_site_type_symbol
_atom_site_fract_x
_atom_site_fract_y
_atom_site_fract_z
In1 In 0.2402 0.2500 0.1250
N1 N 0.0000 0.0000 0.0000
O1 O 0.0000 0.0000 0.5000
# * D(E_F): 0.186 states/eV/atom
# * spin magnetization: 0.00 Bohr magnetons per cell

---

2:
# In2NO (PBE-GGA, optimized geometry)
data_In2NO
_symmetry_space_group_name_H-M 'F m -3 m'
_symmetry_Int_Tables_number 225
_symmetry_space_group_name_Hall '-F 4 2 3'
_cell_length_a 6.0066
_cell_length_b 6.0066
_cell_length_c 6.0066
_cell_angle_alpha 90.00
_cell_angle_beta 90.00
_cell_angle_gamma 90.00
loop_
_atom_site_label
_atom_site_type_symbol
_atom_site_fract_x
_atom_site_fract_y
_atom_site_fract_z
In1 In 0.2500 0.2500 0.2500
N1 N 0.0000 0.0000 0.0000
O1 O 0.0000 0.0000 0.5000
# * D(E_F): 0.325 states/eV/atom
# * spin magnetization: 0.00 Bohr magnetons per cell

---

In terms of stability, 1 leads; the second structure lies 759 meV per atom higher.

---

1:
# In3NO3 (PBE-GGA, optimized geometry)
data_In3NO3
_symmetry_space_group_name_H-M 'R -3 m'
_symmetry_Int_Tables_number 166
_symmetry_space_group_name_Hall '-R 3 2"'
_cell_length_a 6.5229
_cell_length_b 6.5229
_cell_length_c 16.2434
_cell_angle_alpha 90.00
_cell_angle_beta 90.00
_cell_angle_gamma 120.00
loop_
_atom_site_label
_atom_site_type_symbol
_atom_site_fract_x
_atom_site_fract_y
_atom_site_fract_z
In1 In 0.0000 0.0000 0.0000
In2 In 0.0000 0.0000 0.3637
In3 In 0.0000 0.5000 0.5000
N1 N 0.0000 0.0000 0.2327
O1 O 0.0174 0.5087 0.7481
# * D(E_F): 0.264 states/eV/atom
# * spin magnetization: 0.00 Bohr magnetons per cell

---

2:
# In3NO3 (PBE-GGA, optimized geometry)
data_In3NO3
_symmetry_space_group_name_H-M 'I m a 2'
_symmetry_Int_Tables_number 46
_cell_length_a 6.5629
_cell_length_b 9.2517
_cell_length_c 6.5901
_cell_angle_alpha 90.00
_cell_angle_beta 90.00
_cell_angle_gamma 90.00
loop_
_symmetry_equiv_pos_as_xyz
'x,y,z'
'-x,-y,z'
'-x+1/2,y,z'
'x+1/2,-y,z'
'x+1/2,y+1/2,z+1/2'
'-x+1/2,-y+1/2,z+1/2'
'-x,y+1/2,z+1/2'
'x,-y+1/2,z+1/2'
loop_
_atom_site_label
_atom_site_type_symbol
_atom_site_fract_x
_atom_site_fract_y
_atom_site_fract_z
In1 In 0.0000 0.0000 0.0000
In2 In 0.2500 0.1154 0.5232
In3 In 0.2500 0.7468 0.2578
N1 N 0.2500 0.5142 0.2852
O1 O 0.0132 0.7460 0.5113
O2 O 0.2500 0.5127 0.7450
# * D(E_F): 0.132 states/eV/atom
# * spin magnetization: 0.00 Bohr magnetons per cell

---

In terms of stability, 1 leads; the second structure lies 19 meV per atom higher.